Material: PuAl3Cu
Method: DFT, GGA-PBE
State: relaxed

Computed properties:
**Energy relative to the elements**: -0.136 eV/atom
**E_tot**: -6.0667 eV per atom
**Volume**: 16.49 A^3/atom
**Mass density**: 7.823 g/cm3
**Energy above the most stable polymorph in this dataset**: 0.100 eV per atom

Geometry as CIF:
```
data_PuAl3Cu
_chemical_formula_sum 'Pu4 Al12 Cu4'
_symmetry_space_group_name_H-M 'P n m a'
_symmetry_Int_Tables_number 62
_cell_length_a 8.134
_cell_length_b 3.549
_cell_length_c 11.426
_cell_angle_alpha 90.00
_cell_angle_beta 90.00
_cell_angle_gamma 90.00
loop_
_symmetry_equiv_pos_as_xyz
'x,y,z'
'-x,-y,-z'
'-x+1/2,-y,z+1/2'
'x+1/2,y,-z+1/2'
'x+1/2,-y+1/2,-z+1/2'
'-x+1/2,y+1/2,z+1/2'
'-x,y+1/2,-z'
'x,-y+1/2,z'
loop_
_atom_site_label
_atom_site_fract_x
_atom_site_fract_y
_atom_site_fract_z
Pu1 0.094 0.250 0.004
Al1 0.080 0.250 0.418
Al2 0.104 0.750 0.226
Al3 0.147 0.750 0.783
Cu1 0.131 0.250 0.627
```

***

Material: La8NiC3Br4
Method: DFT, GGA-PBE
State: relaxed

Computed properties:
**E_form (uncorrected)**: -0.85 eV/atom
**E_tot**: -5.8201 eV per atom
**Volume**: 25.96 A^3/atom
**Mass density**: 6.100 g/cm3

Geometry as CIF:
```
data_La8NiC3Br4
_chemical_formula_sum 'La16 Ni2 C6 Br8'
_symmetry_space_group_name_H-M 'C 1 2/m 1'
_symmetry_Int_Tables_number 12
_cell_length_a 13.762
_cell_length_b 7.909
_cell_length_c 8.902
_cell_angle_alpha 90.00
_cell_angle_beta 120.99
_cell_angle_gamma 90.00
loop_
_symmetry_equiv_pos_as_xyz
'x,y,z'
'-x,-y,-z'
'-x,y,-z'
'x,-y,z'
'x+1/2,y+1/2,z'
'-x+1/2,-y+1/2,-z'
'-x+1/2,y+1/2,-z'
'x+1/2,-y+1/2,z'
loop_
_atom_site_label
_atom_site_fract_x
_atom_site_fract_y
_atom_site_fract_z
La1 0.025 0.236 0.310
La2 0.229 0.000 0.686
La3 0.241 0.500 0.691
Ni1 0.000 0.500 0.500
C1 0.000 0.000 0.500
C2 0.250 0.250 0.500
Br1 0.000 0.000 0.000
Br2 0.000 0.500 0.000
Br3 0.250 0.250 0.000
```

***

Material: Ac3Pm2Sm
Method: DFT, GGA-PBE
State: relaxed

Computed properties:
**Energy relative to the elements**: 0.107 eV/atom
**E_tot**: -4.3174 eV per atom
**Volume**: 39.52 A^3/atom
**Mass density**: 7.852 g/cm3

Geometry as CIF:
```
data_Ac3Pm2Sm
_chemical_formula_sum 'Ac12 Pm8 Sm4'
_symmetry_space_group_name_H-M 'C 1 2/c 1'
_symmetry_Int_Tables_number 15
_cell_length_a 9.594
_cell_length_b 10.691
_cell_length_c 9.436
_cell_angle_alpha 90.00
_cell_angle_beta 101.46
_cell_angle_gamma 90.00
loop_
_symmetry_equiv_pos_as_xyz
'x,y,z'
'-x,-y,-z'
'-x,y,-z+1/2'
'x,-y,z+1/2'
'x+1/2,y+1/2,z'
'-x+1/2,-y+1/2,-z'
'-x+1/2,y+1/2,-z+1/2'
'x+1/2,-y+1/2,z+1/2'
loop_
_atom_site_label
_atom_site_fract_x
_atom_site_fract_y
_atom_site_fract_z
Ac1 0.000 0.055 0.250
Ac2 0.213 0.419 0.977
Pm1 0.133 0.249 0.619
Sm1 0.000 0.378 0.250
```

***

Material: SrBr2F8
Method: DFT, GGA-PBE
State: relaxed

Computed properties:
**E_form (uncorrected)**: -1.62 eV/atom
**E_tot**: -3.4397 eV per atom
**Volume**: 15.68 A^3/atom
**Mass density**: 3.845 g/cm3

Geometry as CIF:
```
data_SrBr2F8
_chemical_formula_sum 'Sr2 Br4 F16'
_symmetry_space_group_name_H-M 'C 1 2/m 1'
_symmetry_Int_Tables_number 12
_cell_length_a 11.721
_cell_length_b 6.495
_cell_length_c 4.538
_cell_angle_alpha 90.00
_cell_angle_beta 92.94
_cell_angle_gamma 90.00
loop_
_symmetry_equiv_pos_as_xyz
'x,y,z'
'-x,-y,-z'
'-x,y,-z'
'x,-y,z'
'x+1/2,y+1/2,z'
'-x+1/2,-y+1/2,-z'
'-x+1/2,y+1/2,-z'
'x+1/2,-y+1/2,z'
loop_
_atom_site_label
_atom_site_fract_x
_atom_site_fract_y
_atom_site_fract_z
Sr1 0.000 0.000 0.000
Br1 0.159 0.500 0.594
F1 0.066 0.500 0.241
F2 0.127 0.202 0.593
F3 0.220 0.000 0.088
```